No. 1
RbLi3Rh after structural relaxation. Source: Alexandria via LeMat-Bulk, functional PBE.

Formation energy from the elements   1141 meV per atom
Uncorrected energy   -8.36 eV per formula unit
Offset from the most stable computed form   968 meV per atom

Cell lengths 4.7084, 4.7084, 4.7084 Å; angles 90.00, 90.00, 90.00 degrees
Fractional coordinates of all 5 atoms:
Li  0.5000  0.0000  0.0000
Li  0.0000  0.0000  0.5000
Li  0.0000  0.5000  0.0000
Rb  0.0000  0.0000  0.0000
Rh  0.5000  0.5000  0.5000


No. 2
Ca2CdCu after structural relaxation. Source: Alexandria via LeMat-Bulk, functional PBE.

Formation energy from the elements   -100 meV per atom
Uncorrected energy   -9.42 eV per formula unit

Cell lengths 3.5828, 3.5828, 8.3220 Å; angles 90.00, 90.00, 90.00 degrees
Fractional coordinates of all 4 atoms:
Cu  0.5000  0.5000  0.7090
Ca  0.5000  0.5000  0.3057
Ca  0.0000  0.0000  0.9307
Cd  0.0000  0.0000  0.5546


No. 3
B2OsPtS after structural relaxation. Source: Alexandria via LeMat-Bulk, functional PBE.

E_form (uncorrected)   1734 meV/atom
Uncorrected energy   -26.08 eV per formula unit

Cell lengths 3.8271, 4.5528, 3.8271 Å; angles 90.00, 90.00, 90.00 degrees
Fractional coordinates of all 5 atoms:
S  0.0000  0.0000  0.0000
Pt  0.0000  0.5000  0.0000
Os  0.5000  0.5000  0.5000
B  0.0000  0.0000  0.5000
B  0.5000  0.0000  0.0000


No. 4
Na2Ac3Tl3 after structural relaxation. Source: Alexandria via LeMat-Bulk, functional PBE.

Formation energy from the elements   -201 meV per atom
Uncorrected energy   -23.67 eV per formula unit

Cell lengths 6.2918, 10.0691, 10.0691 Å; angles 120.00, 90.00, 90.00 degrees
Fractional coordinates of all 16 atoms:
Tl  0.2500  0.4046  0.0000
Tl  0.2500  0.0000  0.4046
Tl  0.2500  0.5954  0.5954
Tl  0.7500  0.5954  0.0000
Tl  0.7500  0.0000  0.5954
Tl  0.7500  0.4046  0.4046
Na  0.0000  0.6667  0.3333
Na  0.0000  0.3333  0.6667
Na  0.5000  0.3333  0.6667
Na  0.5000  0.6667  0.3333
Ac  0.7500  0.0000  0.2526
Ac  0.7500  0.7474  0.7474
Ac  0.2500  0.0000  0.7474
Ac  0.7500  0.2526  0.0000
Ac  0.2500  0.7474  0.0000
Ac  0.2500  0.2526  0.2526


No. 5
MgAg2P2 after structural relaxation. Source: Alexandria via LeMat-Bulk, functional PBE.

Formation energy from the elements   -60 meV per atom
Uncorrected energy   -18.42 eV per formula unit
Offset from the most stable computed form   0 meV per atom

Cell lengths 6.4978, 6.4978, 4.7879 Å; angles 90.00, 90.00, 90.00 degrees
Fractional coordinates of all 10 atoms:
Mg  0.0000  0.0000  0.0000
Mg  0.5000  0.5000  0.0000
Ag  0.6803  0.1803  0.5000
Ag  0.1803  0.3197  0.5000
Ag  0.3197  0.8197  0.5000
Ag  0.8197  0.6803  0.5000
P  0.8806  0.6194  0.0000
P  0.1194  0.3806  0.0000
P  0.3806  0.8806  0.0000
P  0.6194  0.1194  0.0000


No. 6
AgPRu2 after structural relaxation. Source: Alexandria via LeMat-Bulk, functional PBE.

Formation energy from the elements   551 meV per atom
Uncorrected energy   -24.61 eV per formula unit
Offset from the most stable computed form   574 meV per atom

Cell lengths 4.3716, 4.3716, 4.3716 Å; angles 60.00, 60.00, 60.00 degrees
Fractional coordinates of all 4 atoms:
P  0.7500  0.7500  0.7500
Ag  0.5000  0.5000  0.5000
Ru  0.0000  0.0000  0.0000
Ru  0.2500  0.2500  0.2500


No. 7
UTcPN after structural relaxation. Source: Alexandria via LeMat-Bulk, functional PBE.

E_form (uncorrected)   -1029 meV/atom
Uncorrected energy   -39.51 eV per formula unit

Cell lengths 3.9504, 3.9504, 7.8234 Å; angles 90.00, 90.00, 90.00 degrees
Each line ends with the local moment (μB).
Fractional coordinates of all 8 atoms:
Tc  0.5000  0.5000  0.0000  0.01
Tc  0.0000  0.0000  0.0000  0.01
U  0.5000  0.0000  0.6432  1.47
U  0.0000  0.5000  0.3568  1.47
N  0.5000  0.5000  0.5000  -0.09
N  0.0000  0.0000  0.5000  -0.09
P  0.5000  0.0000  0.1659  -0.03
P  0.0000  0.5000  0.8341  -0.03


No. 8
MgSiTc2 after structural relaxation. Source: Alexandria via LeMat-Bulk, functional PBE.

E_form (uncorrected)   11 meV/atom
Uncorrected energy   -27.71 eV per formula unit
Offset from the most stable computed form   127 meV per atom

Cell lengths 8.9255, 8.9255, 8.9255 Å; angles 18.35, 18.35, 18.35 degrees
Fractional coordinates of all 4 atoms:
Mg  0.5003  0.5003  0.5003
Si  0.7431  0.7431  0.7431
Tc  0.0008  0.0008  0.0008
Tc  0.2558  0.2558  0.2558


No. 9
Na3MgSn after structural relaxation. Source: Alexandria via LeMat-Bulk, functional PBE.

Formation energy from the elements   -52 meV per atom
Uncorrected energy   -9.82 eV per formula unit
Offset from the most stable computed form   0 meV per atom

Cell lengths 8.4042, 7.2567, 8.4042 Å; angles 85.59, 121.62, 128.89 degrees
Fractional coordinates of all 10 atoms:
Na  0.9453  0.7820  0.6638
Na  0.4884  0.1791  0.3334
Na  0.2175  0.3841  0.8094
Na  0.8457  0.6791  0.1907
Na  0.5748  0.8841  0.6666
Na  0.1182  0.2820  0.3367
Sn  0.4996  0.2817  0.7180
Sn  0.5637  0.7817  0.2821
Mg  0.5317  0.0313  0.9998
Mg  0.0316  0.5313  0.9996


No. 10
Tb3NdEr2Tm6 after structural relaxation. Source: Alexandria via LeMat-Bulk, functional PBE.

Formation energy from the elements   22 meV per atom
Uncorrected energy   -54.35 eV per formula unit

Cell lengths 6.1025, 6.1025, 11.6561 Å; angles 95.00, 95.00, 119.96 degrees
Fractional coordinates of all 12 atoms:
Tm  0.7500  0.7500  0.2503
Tm  0.0842  0.4181  0.2504
Tm  0.9158  0.5819  0.7496
Tm  0.5819  0.9158  0.7496
Tm  0.2500  0.2500  0.7497
Tm  0.4181  0.0842  0.2504
Tb  0.1669  0.8331  0.5000
Tb  0.8331  0.1669  0.5000
Tb  0.5000  0.5000  0.5000
Nd  0.0000  0.0000  0.0000
Er  0.3332  0.6668  0.0000
Er  0.6668  0.3332  0.0000


No. 11
ScNi2AsCl after structural relaxation. Source: Alexandria via LeMat-Bulk, functional PBE.

E_form (uncorrected)   -55 meV/atom
Uncorrected energy   -24.67 eV per formula unit

Cell lengths 4.1366, 4.9075, 4.1366 Å; angles 90.00, 90.00, 90.00 degrees
Fractional coordinates of all 5 atoms:
Ni  0.5000  0.0000  0.0000
Ni  0.0000  0.0000  0.5000
As  0.5000  0.5000  0.5000
Cl  0.0000  0.0000  0.0000
Sc  0.0000  0.5000  0.0000


No. 12
PmNdAgPd after structural relaxation. Source: Alexandria via LeMat-Bulk, functional PBE.

Formation energy from the elements   -494 meV per atom
Uncorrected energy   -19.54 eV per formula unit
Offset from the most stable computed form   29 meV per atom

Cell lengths 5.2010, 5.2010, 5.2010 Å; angles 60.00, 60.00, 60.00 degrees
Fractional coordinates of all 4 atoms:
Pd  0.7500  0.7500  0.7500
Pm  0.0000  0.0000  0.0000
Nd  0.5000  0.5000  0.5000
Ag  0.2500  0.2500  0.2500


Number 1: Fermi-level density of states 0.6495 states/eV/atom. Number 2: Fermi-level density of states 0.5800 states/eV/atom. Number 3: Fermi-level density of states 0.8139 states/eV/atom. Number 4: Fermi-level density of states 0.6199 states/eV/atom. Number 5: Fermi-level density of states 0.2117 states/eV/atom. Number 6: Fermi-level density of states 1.2440 states/eV/atom. Number 7: Fermi-level density of states 1.0235 states/eV/atom. Number 8: Fermi-level density of states 0.6219 states/eV/atom. Number 9: Fermi-level density of states 0.3782 states/eV/atom. Number 10: Fermi-level density of states 1.3142 states/eV/atom. Number 11: Fermi-level density of states 0.4365 states/eV/atom. Number 12: Fermi-level density of states 0.7456 states/eV/atom.